Record 1
The following is a PBE calculation of crystalline BaUAgS4 at its relaxed geometry, from the Alexandria database.

Properties
**ΔE_f (raw)**: -786.7 kJ/mol of formula units
**Space group**: P2_1/m, No. 11

Lattice parameters (Å, degrees): 6.5932 6.6666 8.7229 90.00 110.78 90.00
Sites, in units of the cell vectors:
Ba (0.7482, 0.7500, 0.9517)
Ba (0.2518, 0.2500, 0.0483)
U (0.7848, 0.7500, 0.4460)
U (0.2152, 0.2500, 0.5540)
Ag (0.2272, 0.7500, 0.3220)
Ag (0.7728, 0.2500, 0.6780)
S (0.0498, 0.5205, 0.7046)
S (0.9502, 0.0205, 0.2954)
S (0.9502, 0.4795, 0.2954)
S (0.0498, 0.9795, 0.7046)
S (0.4519, 0.7500, 0.1510)
S (0.5481, 0.2500, 0.8490)
S (0.5138, 0.7500, 0.5944)
S (0.4862, 0.2500, 0.4056)

---

Record 2
The following is a PBE calculation of crystalline Ba2UAg2S6 at its relaxed geometry, from the Alexandria database.

Properties
**ΔE_f (raw)**: -1151.5 kJ/mol of formula units
**Space group**: P-3, No. 147

Lattice parameters (Å, degrees): 6.8580 6.8580 7.1415 90.00 90.00 120.00
Sites, in units of the cell vectors:
Ba (0.6667, 0.3333, 0.4993)
Ba (0.3333, 0.6667, 0.5007)
U (0.0000, 0.0000, 0.0000)
Ag (0.3333, 0.6667, 0.0008)
Ag (0.6667, 0.3333, 0.9992)
S (0.9996, 0.3082, 0.7880)
S (0.6918, 0.6914, 0.7880)
S (0.3086, 0.0004, 0.7880)
S (0.0004, 0.6918, 0.2120)
S (0.3082, 0.3086, 0.2120)
S (0.6914, 0.9996, 0.2120)

---

Record 3
The following is a PBE calculation of crystalline Ba2AgWS6 at its relaxed geometry, from the Alexandria database.

Properties
**ΔE_f (raw)**: -860.4 kJ/mol of formula units
**Space group**: R-3m, No. 166

Lattice parameters (Å, degrees): 6.8182 6.8182 12.7173 74.45 74.45 60.00
Sites, in units of the cell vectors:
Ba (0.8784, 0.8784, 0.3649)
Ba (0.1216, 0.1216, 0.6351)
Ba (0.7018, 0.7018, 0.8945)
Ba (0.2982, 0.2982, 0.1055)
Ag (0.5835, 0.5835, 0.2494)
Ag (0.4165, 0.4165, 0.7506)
W (0.0000, 0.0000, 0.0000)
W (0.5000, 0.5000, 0.5000)
S (0.8772, 0.3681, 0.3866)
S (0.3681, 0.8772, 0.3866)
S (0.3681, 0.3681, 0.3866)
S (0.1228, 0.6319, 0.6134)
S (0.6319, 0.1228, 0.6134)
S (0.6319, 0.6319, 0.6134)
S (0.7128, 0.2016, 0.8839)
S (0.2016, 0.7128, 0.8839)
S (0.2016, 0.2016, 0.8839)
S (0.2872, 0.7984, 0.1161)
S (0.7984, 0.2872, 0.1161)
S (0.7984, 0.7984, 0.1161)